K5Tl2Te4 | PBE-GGA | relaxed

Structure (extended XYZ):
```
11
Lattice="8.834 -2.824 0.000 8.834 2.824 0.000 -0.424 0.000 9.565" Properties=species:S:1:pos:R:3 pbc="T T T"
K 0.000 0.000 0.000
K 5.997 0.000 0.369
K 5.836 0.000 4.639
K 11.408 0.000 4.926
K 11.246 0.000 9.195
Tl 0.216 0.000 6.235
Tl 17.028 0.000 3.330
Te 3.104 0.000 7.132
Te 8.119 0.000 7.263
Te 9.125 0.000 2.301
Te 14.140 0.000 2.432
```

* uncorrected formation energy: -0.7540 eV per atom
* magnetization: 0.000 μB per formula unit
* symmetry: C2/m

=====

KTlTe | PBE-GGA | relaxed

Structure (extended XYZ):
```
12
Lattice="8.350 0.000 0.000 0.000 5.224 0.000 0.000 0.000 10.747" Properties=species:S:1:pos:R:3 pbc="T T T"
K 0.253 1.306 1.953
K 3.922 3.918 7.326
K 4.428 1.306 3.420
K 8.098 3.918 8.794
Tl 1.301 1.306 6.140
Tl 2.874 3.918 0.766
Tl 5.476 1.306 9.980
Tl 7.049 3.918 4.607
Te 1.964 3.918 4.163
Te 2.211 1.306 9.536
Te 6.139 3.918 1.211
Te 6.386 1.306 6.584
```

* uncorrected formation energy: -0.6715 eV per atom
* magnetization: 0.000 μB per formula unit
* symmetry: Pnma

=====

KTlTe2 | PBE-GGA | relaxed

Structure (extended XYZ):
```
8
Lattice="13.328 0.000 0.000 0.000 3.241 0.000 -0.200 0.000 6.400" Properties=species:S:1:pos:R:3 pbc="T T T"
K 0.000 0.000 0.000
K 6.664 1.621 0.000
Tl 3.360 1.621 3.219
Tl 10.024 0.000 3.219
Te -0.051 1.621 3.198
Te 3.485 0.000 0.111
Te 6.613 0.000 3.198
Te 10.149 1.621 0.111
```

* uncorrected formation energy: -0.4558 eV per atom
* magnetization: 0.000 μB per formula unit
* symmetry: Cm

=====

KTlTe2 | PBE-GGA | relaxed

Structure (extended XYZ):
```
8
Lattice="5.089 0.000 0.000 0.000 5.089 0.000 0.000 0.000 10.207" Properties=species:S:1:pos:R:3 pbc="T T T"
K 0.000 0.000 0.000
K 2.544 2.544 5.103
Tl 0.000 0.000 5.103
Tl 2.544 2.544 0.000
Te 0.000 2.544 2.552
Te 0.000 2.544 7.655
Te 2.544 0.000 2.552
Te 2.544 0.000 7.655
```

* uncorrected formation energy: -0.4241 eV per atom
* magnetization: 0.000 μB per formula unit
* symmetry: I4/mmm

=====

KTlTe2 | PBE-GGA | relaxed

Structure (extended XYZ):
```
8
Lattice="4.913 0.000 0.000 0.000 4.913 0.000 0.000 0.000 11.196" Properties=species:S:1:pos:R:3 pbc="T T T"
K 0.000 0.000 0.000
K 2.457 2.457 5.598
Tl 0.000 2.457 2.799
Tl 2.457 0.000 8.397
Te 0.000 0.000 5.598
Te 0.000 2.457 8.397
Te 2.457 0.000 2.799
Te 2.457 2.457 0.000
```

* uncorrected formation energy: -0.3094 eV per atom
* magnetization: 0.000 μB per formula unit
* symmetry: I-4m2

=====

KTlTe2 | PBE-GGA | relaxed

Structure (extended XYZ):
```
8
Lattice="9.142 0.000 0.000 0.000 9.227 0.000 -0.010 0.000 3.248" Properties=species:S:1:pos:R:3 pbc="T T T"
K 0.000 0.000 0.000
K 4.571 4.613 0.000
Tl 0.000 4.613 0.000
Tl 4.571 0.000 0.000
Te 2.281 2.307 1.624
Te 2.281 6.920 1.624
Te 6.851 2.307 1.624
Te 6.851 6.920 1.624
```

* uncorrected formation energy: -0.4430 eV per atom
* magnetization: 0.000 μB per formula unit
* symmetry: C2/m

=====

K2TlTe2 | PBE-GGA | relaxed

Structure (extended XYZ):
```
10
Lattice="5.308 0.000 0.000 0.000 5.308 0.000 0.000 0.000 14.984" Properties=species:S:1:pos:R:3 pbc="T T T"
K 0.000 2.654 3.746
K 0.000 2.654 11.238
K 2.654 0.000 3.746
K 2.654 0.000 11.238
Tl 0.000 0.000 0.000
Tl 2.654 2.654 7.492
Te 0.000 0.000 5.923
Te 0.000 0.000 9.061
Te 2.654 2.654 1.569
Te 2.654 2.654 13.415
```

* uncorrected formation energy: -0.4473 eV per atom
* magnetization: 0.826 μB per formula unit
* symmetry: I4/mmm

=====

KTlTe2 | PBE-GGA | relaxed

Structure (extended XYZ):
```
8
Lattice="5.012 0.000 0.000 0.000 8.067 0.000 0.000 0.000 9.387" Properties=species:S:1:pos:R:3 pbc="T T T"
K 0.000 0.000 0.000
K 0.000 4.034 4.694
Tl 2.506 0.000 4.281
Tl 2.506 4.034 8.975
Te 2.506 1.437 7.134
Te 2.506 2.596 2.440
Te 2.506 5.471 2.440
Te 2.506 6.630 7.134
```

* uncorrected formation energy: -0.4022 eV per atom
* magnetization: 0.000 μB per formula unit
* symmetry: Amm2